Record 1
The following is a GGA-PBE calculation of LiGa2FePb after structural relaxation, from Alexandria.

Calculated formation energy = 905 meV/atom
Crystal system = tetragonal
Magnetic moment = 0.55 μB per atom
E_tot = -15.6 eV/cell
ρ = 4.4 g/cm3

abc: 5.5368 5.5368 5.0585
angles: 90.00 90.00 90.00
Closest atoms and distances in Å follow each position.
Sites, in units of the cell vectors:
Li  0.0000  0.0000  0.0000  8 Ga 3.75, 4 Fe 3.92
Ga  0.0000  0.5000  0.5000  2 Pb 2.77
Ga  0.5000  0.0000  0.5000  2 Pb 2.77
Fe  0.5000  0.5000  0.0000  2 Pb 2.53
Pb  0.5000  0.5000  0.5000  2 Fe 2.53, 4 Ga 2.77

***

Record 2
The following is a GGA-PBE calculation of LiGaFeSi after structural relaxation, from Alexandria.

Crystal system = cubic
Magnetic moment = 0.07 μB per atom
E_tot = -19.5 eV/cell
ρ = 5.6 g/cm3

abc: 4.0729 4.0729 4.0729
angles: 60.00 60.00 60.00
Closest atoms and distances in Å follow each position.
Sites, in units of the cell vectors:
Li  0.0000  0.0000  0.0000  4 Si 2.49, 4 Ga 2.49
Ga  0.7500  0.7500  0.7500  4 Fe 2.49, 4 Li 2.49
Fe  0.5000  0.5000  0.5000  4 Ga 2.49, 4 Si 2.49
Si  0.2500  0.2500  0.2500  4 Fe 2.49, 4 Li 2.49

***

Record 3
The following is a GGA-PBE calculation of LiGaFe2Si after structural relaxation, from Alexandria.

Crystal system = tetragonal
Magnetic moment = 0.96 μB per atom
E_tot = -23.2 eV/cell
ρ = 5.2 g/cm3

abc: 4.0961 4.0961 4.1112
angles: 90.00 90.00 90.00
Closest atoms and distances in Å follow each position.
Sites, in units of the cell vectors:
Li  0.0000  0.0000  0.0000  4 Fe 2.05, 2 Si 2.06
Ga  0.5000  0.5000  0.5000  4 Si 2.90, 8 Fe 2.90
Fe  0.0000  0.5000  0.0000  2 Li 2.05
Fe  0.5000  0.0000  0.0000  2 Li 2.05
Si  0.0000  0.0000  0.5000  2 Li 2.06

***

Record 4
The following is a GGA-PBE calculation of LiTb2Ga6Fe after structural relaxation, from Alexandria.

Calculated formation energy = -310 meV/atom
Crystal system = monoclinic
Magnetic moment = 0.18 μB per atom
E_tot = -40.9 eV/cell
ρ = 6.8 g/cm3

abc: 6.5471 6.5471 8.3800
angles: 128.76 128.76 47.75
Closest atoms and distances in Å follow each position.
Sites, in units of the cell vectors:
Li  0.0000  0.0000  0.0000  6 Ga 2.51-2.60
Tb  0.4721  0.4721  0.2288  7 Ga 3.02-3.30, 2 Fe 3.36
Tb  0.5279  0.5279  0.7712  7 Ga 3.02-3.30, 2 Fe 3.36
Ga  0.0034  0.5074  0.2477  1 Fe 2.51, 1 Li 2.60, 4 Ga 2.63-2.70
Ga  0.1498  0.1498  0.4015  1 Fe 2.43, 1 Li 2.51, 4 Ga 2.66-2.70
Ga  0.4926  0.9966  0.7523  1 Fe 2.51, 1 Li 2.60, 4 Ga 2.63-2.70
Ga  0.5074  0.0034  0.2477  1 Fe 2.51, 1 Li 2.60, 4 Ga 2.63-2.70
Ga  0.8502  0.8502  0.5985  1 Fe 2.43, 1 Li 2.51, 4 Ga 2.66-2.70
Ga  0.9966  0.4926  0.7523  1 Fe 2.51, 1 Li 2.60, 4 Ga 2.63-2.70
Fe  0.0000  0.0000  0.5000  6 Ga 2.43-2.51

***

Record 5
The following is a GGA-PBE calculation of LiThGaFe after structural relaxation, from Alexandria.

Calculated formation energy = -102 meV/atom
Crystal system = cubic
Magnetic moment = 0.39 μB per atom
E_tot = -21.2 eV/cell
ρ = 8.7 g/cm3

abc: 4.6129 4.6129 4.6129
angles: 60.00 60.00 60.00
Closest atoms and distances in Å follow each position.
Sites, in units of the cell vectors:
Li  0.0000  0.0000  0.0000  4 Th 2.82, 4 Ga 2.82
Th  0.2500  0.2500  0.2500  4 Fe 2.82, 4 Li 2.82
Ga  0.7500  0.7500  0.7500  4 Fe 2.82, 4 Li 2.82
Fe  0.5000  0.5000  0.5000  4 Th 2.82, 4 Ga 2.82

***

Record 6
The following is a GGA-PBE calculation of LiGaFeW after structural relaxation, from Alexandria.

Calculated formation energy = -68 meV/atom
Crystal system = cubic
Magnetic moment = 0.00 μB per atom
E_tot = -26.6 eV/cell
ρ = 10.5 g/cm3

abc: 4.1330 4.1330 4.1330
angles: 60.00 60.00 60.00
Closest atoms and distances in Å follow each position.
Sites, in units of the cell vectors:
Li  0.0000  0.0000  0.0000  4 W 2.53, 4 Ga 2.53
Ga  0.2500  0.2500  0.2500  4 Fe 2.53, 4 Li 2.53
Fe  0.5000  0.5000  0.5000  4 W 2.53, 4 Ga 2.53
W  0.7500  0.7500  0.7500  4 Fe 2.53, 4 Li 2.53

***

Record 7
The following is a GGA-PBE calculation of LuGaFe after structural relaxation, from Alexandria.

Calculated formation energy = -194 meV/atom
Crystal system = tetragonal
Magnetic moment = 0.00 μB per atom
E_tot = -16.6 eV/cell
ρ = 9.9 g/cm3

abc: 5.4079 5.4079 5.4079
angles: 145.59 145.59 49.46
Closest atoms and distances in Å follow each position.
Sites, in units of the cell vectors:
Lu  0.0000  0.0000  0.0000  5 Fe 2.85-3.17, 5 Ga 2.87-3.05
Ga  0.7081  0.7081  0.0000  4 Fe 2.53
Fe  0.3228  0.3228  0.0000  4 Ga 2.53

***

Record 8
The following is a GGA-PBE calculation of LuGaFe4 after structural relaxation, from Alexandria.

Calculated formation energy = -143 meV/atom
Crystal system = cubic
Magnetic moment = 1.23 μB per atom
E_tot = -42.3 eV/cell
ρ = 9.3 g/cm3

abc: 4.9100 4.9100 4.9100
angles: 60.00 60.00 60.00
Closest atoms and distances in Å follow each position.
Sites, in units of the cell vectors:
Lu  0.0000  0.0000  0.0000  12 Fe 2.88, 4 Ga 3.01
Ga  0.7500  0.7500  0.7500  12 Fe 2.88, 4 Lu 3.01
Fe  0.3760  0.3760  0.3760  6 Fe 2.44-2.47
Fe  0.3760  0.3760  0.8721  6 Fe 2.44-2.47
Fe  0.3760  0.8721  0.3760  6 Fe 2.44-2.47
Fe  0.8721  0.3760  0.3760  6 Fe 2.44-2.47

***

Record 9
The following is a GGA-PBE calculation of LuGaFe after structural relaxation, from Alexandria.

Calculated formation energy = -240 meV/atom
Crystal system = hexagonal
Magnetic moment = 0.61 μB per atom
E_tot = -16.7 eV/cell
ρ = 9.1 g/cm3

abc: 4.2535 4.2535 3.5092
angles: 90.00 90.00 120.00
Closest atoms and distances in Å follow each position.
Sites, in units of the cell vectors:
Lu  0.0000  0.0000  0.0000  6 Fe 3.02, 6 Ga 3.02
Ga  0.3333  0.6667  0.5000  3 Fe 2.46
Fe  0.6667  0.3333  0.5000  3 Ga 2.46

***

Record 10
The following is a GGA-PBE calculation of LuScGaFe after structural relaxation, from Alexandria.

Calculated formation energy = -276 meV/atom
Crystal system = cubic
Magnetic moment = 0.21 μB per atom
E_tot = -23.4 eV/cell
ρ = 7.8 g/cm3

abc: 4.7074 4.7074 4.7074
angles: 60.00 60.00 60.00
Closest atoms and distances in Å follow each position.
Sites, in units of the cell vectors:
Lu  0.0000  0.0000  0.0000  4 Fe 2.88, 4 Ga 2.88
Sc  0.5000  0.5000  0.5000  4 Fe 2.88, 4 Ga 2.88
Ga  0.2500  0.2500  0.2500  4 Sc 2.88, 4 Lu 2.88
Fe  0.7500  0.7500  0.7500  4 Sc 2.88, 4 Lu 2.88

***

Record 11
The following is a GGA-PBE calculation of MgGa2Fe2 after structural relaxation, from Alexandria.

Calculated formation energy = 147 meV/atom
Crystal system = tetragonal
Magnetic moment = 0.68 μB per atom
E_tot = -23.8 eV/cell
ρ = 5.9 g/cm3

abc: 6.1580 6.1580 6.1580
angles: 144.56 144.56 50.99
Closest atoms and distances in Å follow each position.
Sites, in units of the cell vectors:
Mg  0.0000  0.0000  0.0000  8 Fe 2.87
Ga  0.2500  0.7500  0.5000  4 Fe 2.52, 4 Ga 2.65
Ga  0.7500  0.2500  0.5000  4 Fe 2.52, 4 Ga 2.65
Fe  0.4018  0.4018  0.0000  1 Fe 2.18
Fe  0.5982  0.5982  0.0000  1 Fe 2.18

***

Record 12
The following is a GGA-PBE calculation of MgGa2Fe2 after structural relaxation, from Alexandria.

Calculated formation energy = 28 meV/atom
Crystal system = tetragonal
Magnetic moment = 0.77 μB per atom
E_tot = -24.4 eV/cell
ρ = 5.9 g/cm3

abc: 6.3565 6.3565 6.3565
angles: 146.66 146.66 47.87
Closest atoms and distances in Å follow each position.
Sites, in units of the cell vectors:
Mg  0.0000  0.0000  0.0000  8 Ga 2.87
Ga  0.3922  0.3922  0.0000  4 Fe 2.46, 1 Ga 2.51
Ga  0.6078  0.6078  0.0000  4 Fe 2.46, 1 Ga 2.51
Fe  0.2500  0.7500  0.5000  4 Ga 2.46, 4 Fe 2.58
Fe  0.7500  0.2500  0.5000  4 Ga 2.46, 4 Fe 2.58